Computed, not measured: a geometry-optimized BeCoRh2 structure at the PBE level of DFT.

a b c (Å): 3.5586 3.5586 7.5443
angles (deg): 90.00 90.00 90.00
Last column: nearest neighbours and their distance in Å.
Positions (direct):
Be1 0.0000 0.0000 0.0000  8 Rh 2.52-2.59, 4 Co 2.59
Be2 0.5000 0.5000 0.5000  8 Rh 2.52-2.59, 4 Co 2.59
Co1 0.0000 0.5000 0.7500  8 Rh 2.52-2.59, 4 Be 2.59
Co2 0.5000 0.0000 0.2500  8 Rh 2.52-2.59, 4 Be 2.59
Rh1 0.0000 0.0000 0.5000  4 Be 2.52, 4 Co 2.59, 4 Rh 2.59
Rh2 0.0000 0.5000 0.2500  4 Co 2.52, 4 Be 2.59, 4 Rh 2.59
Rh3 0.5000 0.0000 0.7500  4 Co 2.52, 4 Be 2.59, 4 Rh 2.59
Rh4 0.5000 0.5000 0.0000  4 Be 2.52, 4 Co 2.59, 4 Rh 2.59

Output
- magnetization (μB per formula unit) = 0.26
- energy relative to the elements (eV/atom) = -0.11
- symmetry = I-4m2, No. 119

Computed, not measured: a geometry-optimized BeCo3Rh structure at the PBE level of DFT.

a b c (Å): 4.4927 4.4927 4.4927
angles (deg): 90.00 90.00 90.00
Last column: nearest neighbours and their distance in Å.
Positions (direct):
Be1 0.0000 0.0000 0.0000  12 Co 3.18
Co1 0.0000 0.5000 0.5000  2 Rh 2.25
Co2 0.5000 0.0000 0.5000  2 Rh 2.25
Co3 0.5000 0.5000 0.0000  2 Rh 2.25
Rh1 0.5000 0.5000 0.5000  6 Co 2.25

Output
- magnetization (μB per formula unit) = 6.53
- energy relative to the elements (eV/atom) = 1.63
- symmetry = Pm-3m, No. 221

Computed, not measured: a geometry-optimized Be2CoRh structure at the PBE level of DFT.

a b c (Å): 7.2721 2.6497 4.4227
angles (deg): 90.00 103.69 90.00
Last column: nearest neighbours and their distance in Å.
Positions (direct):
Be1 0.2466 0.0000 0.2324  3 Co 2.27-2.31, 3 Rh 2.35-2.37, 2 Be 2.46
Be2 0.2534 0.5000 0.7676  3 Co 2.27-2.31, 3 Rh 2.35-2.37, 2 Be 2.46
Be3 0.7466 0.5000 0.2324  3 Co 2.27-2.31, 3 Rh 2.35-2.37, 2 Be 2.46
Be4 0.7534 0.0000 0.7676  3 Co 2.27-2.31, 3 Rh 2.35-2.37, 2 Be 2.46
Co1 0.0000 0.5000 0.0000  6 Be 2.27-2.31
Co2 0.5000 0.0000 0.0000  6 Be 2.27-2.31
Rh1 0.0000 0.0000 0.5000  6 Be 2.35-2.37, 4 Co 2.58
Rh2 0.5000 0.5000 0.5000  6 Be 2.35-2.37, 4 Co 2.58

Output
- magnetization (μB per formula unit) = 0.19
- energy relative to the elements (eV/atom) = -0.21
- symmetry = C2/m, No. 12